Record 1
{"formula": "Ac4LaY6", "functional": "PBE", "state": "optimized geometry", "cell": [[7.648, -2.231, -5.075], [-5.084, 7.887, 1.084], [-1.438, 2.231, 9.066]], "species": ["Ac", "Ac", "Ac", "Ac", "Y", "Y", "Y", "Y", "Y", "Y", "La"], "frac_coords": [[0.407, 0.387, 0.387], [0.000, 0.613, 0.021], [0.593, 0.979, 0.979], [0.000, 0.021, 0.613], [0.500, 0.000, 0.500], [0.000, 0.433, 0.752], [0.500, 0.500, 0.000], [0.681, 0.248, 0.248], [0.000, 0.752, 0.433], [0.319, 0.567, 0.567], [0.000, 0.000, 0.000]], "formation_energy_mev_per_atom": 297, "e_tot_ev_per_atom": -5.171, "density_g_cm3": 6.12, "sg": "I-42m (121)"}

---

Record 2
{"formula": "PrHo8Er6", "functional": "PBE", "state": "optimized geometry", "cell": [[6.437, 0.000, 0.000], [0.000, 8.120, -4.688], [0.000, 0.000, 9.377]], "species": ["Ho", "Ho", "Ho", "Ho", "Ho", "Ho", "Ho", "Ho", "Er", "Er", "Er", "Er", "Er", "Er", "Pr"], "frac_coords": [[0.833, 0.333, 0.667], [0.906, 0.686, 0.661], [0.167, 0.667, 0.333], [0.906, 0.339, 0.025], [0.906, 0.975, 0.314], [0.094, 0.025, 0.686], [0.094, 0.661, 0.975], [0.094, 0.314, 0.339], [0.590, 0.417, 0.319], [0.410, 0.583, 0.681], [0.410, 0.319, 0.902], [0.590, 0.681, 0.098], [0.590, 0.902, 0.583], [0.410, 0.098, 0.417], [0.500, 0.000, 0.000]], "formation_energy_mev_per_atom": 228, "e_tot_ev_per_atom": -4.357, "density_g_cm3": 8.35, "e_above_lowest_polymorph_ev_per_fu": 1.35, "sg": "P-3 (147)"}

---

Record 3
{"formula": "LaRh2SF", "functional": "PBE", "state": "optimized geometry", "cell": [[4.125, 0.000, 0.000], [0.000, 5.579, 0.000], [0.000, 0.000, 4.125]], "species": ["Rh", "Rh", "F", "La", "S"], "frac_coords": [[0.000, 0.000, 0.500], [0.500, 0.000, 0.000], [0.000, 0.000, 0.000], [0.500, 0.500, 0.500], [0.000, 0.500, 0.000]], "e_tot_ev_per_atom": -5.667, "density_g_cm3": 6.92, "e_form_raw_kj_per_mol_atoms": -52.2, "sg": "P4/mmm (123)"}

---

Record 4
{"formula": "Bi2AuCl", "functional": "PBE", "state": "optimized geometry", "cell": [[4.603, 0.000, 0.000], [2.301, 3.986, 0.000], [2.301, 1.329, 6.563]], "species": ["Cl", "Au", "Bi", "Bi"], "frac_coords": [[0.502, 0.502, 0.495], [0.667, 0.667, 0.999], [0.274, 0.274, 0.178], [0.058, 0.058, 0.827]], "e_tot_ev_per_atom": -3.516, "density_g_cm3": 8.97, "e_form_raw_kj_per_mol_atoms": -28.4, "e_above_lowest_polymorph_ev_per_fu": 0.02, "sg": "R3m (160)"}

---

Record 5
{"formula": "AgBiSeO5", "functional": "PBE", "state": "optimized geometry", "cell": [[-3.008, -5.405, 0.756], [1.622, 0.906, 5.949], [-5.617, 5.784, -2.022]], "species": ["Ag", "Ag", "O", "O", "O", "O", "O", "O", "O", "O", "O", "O", "Se", "Se", "Bi", "Bi"], "frac_coords": [[0.319, 0.681, 0.250], [0.681, 0.319, 0.750], [0.713, 0.622, 0.391], [0.622, 0.713, 0.891], [0.833, 0.316, 0.130], [0.091, 0.909, 0.250], [0.316, 0.833, 0.630], [0.287, 0.378, 0.609], [0.684, 0.167, 0.370], [0.909, 0.091, 0.750], [0.167, 0.684, 0.870], [0.378, 0.287, 0.109], [0.342, 0.658, 0.750], [0.658, 0.342, 0.250], [0.000, 0.000, 0.500], [0.000, 0.000, 0.000]], "e_tot_ev_per_atom": -5.059, "density_g_cm3": 5.59, "e_form_raw_kj_per_mol_atoms": -65.9, "sg": "C2/c (15)"}

---

Record 6
{"formula": "TlZn4", "functional": "PBE", "state": "optimized geometry", "cell": [[-1.528, -4.615, 2.198], [4.238, -2.427, -2.148], [2.857, 1.131, 4.361]], "species": ["Zn", "Zn", "Zn", "Zn", "Tl"], "frac_coords": [[0.500, 0.000, 0.500], [0.500, 0.500, 0.000], [0.000, 0.000, 0.000], [0.000, 0.500, 0.500], [0.500, 0.500, 0.500]], "formation_energy_mev_per_atom": 606, "e_tot_ev_per_atom": -0.886, "density_g_cm3": 5.10, "e_above_lowest_polymorph_ev_per_fu": 2.50, "sg": "Pm-3m (221)"}

---

Record 7
{"formula": "EuTePd2", "functional": "PBE", "state": "optimized geometry", "cell": [[-2.977, 3.022, 0.272], [-2.074, -2.334, 3.226], [2.443, 2.126, 3.109]], "species": ["Eu", "Te", "Pd", "Pd"], "frac_coords": [[0.500, 0.500, 0.500], [0.500, 0.000, 0.000], [0.000, 0.500, 0.000], [0.000, 0.000, 0.500]], "e_tot_ev_per_atom": -6.573, "density_g_cm3": 9.55, "e_form_raw_kj_per_mol_atoms": -60.1, "e_above_lowest_polymorph_ev_per_fu": 0.17, "sg": "P4/mmm (123)"}

---

Record 8
{"formula": "CaAl2SbPb", "functional": "PBE", "state": "optimized geometry", "cell": [[5.543, 0.000, 0.000], [0.000, 5.845, 0.000], [0.000, 0.000, 5.543]], "species": ["Ca", "Al", "Al", "Pb", "Sb"], "frac_coords": [[0.000, 0.000, 0.000], [0.500, 0.000, 0.000], [0.000, 0.000, 0.500], [0.000, 0.500, 0.000], [0.500, 0.500, 0.500]], "e_tot_ev_per_atom": -2.488, "density_g_cm3": 3.91, "e_form_raw_kj_per_mol_atoms": 94.1, "sg": "P4/mmm (123)"}

---

Record 9
{"formula": "Ce6Ga3Tc", "functional": "PBE", "state": "optimized geometry", "cell": [[7.913, 0.634, 0.648], [0.462, 7.925, 0.648], [0.462, 0.472, 7.937]], "species": ["Ga", "Ga", "Ga", "Ga", "Ga", "Ga", "Ce", "Ce", "Ce", "Ce", "Ce", "Ce", "Ce", "Ce", "Ce", "Ce", "Ce", "Ce", "Tc", "Tc"], "frac_coords": [[0.931, 0.846, 0.334], [0.334, 0.931, 0.846], [0.666, 0.069, 0.154], [0.069, 0.154, 0.666], [0.154, 0.666, 0.069], [0.846, 0.334, 0.931], [0.541, 0.834, 0.473], [0.459, 0.166, 0.527], [0.307, 0.934, 0.232], [0.166, 0.527, 0.459], [0.232, 0.307, 0.934], [0.693, 0.066, 0.768], [0.066, 0.768, 0.693], [0.834, 0.473, 0.541], [0.473, 0.541, 0.834], [0.768, 0.693, 0.066], [0.527, 0.459, 0.166], [0.934, 0.232, 0.307], [0.000, 0.000, 0.000], [0.500, 0.500, 0.500]], "formation_energy_mev_per_atom": -199, "e_tot_ev_per_atom": -5.704, "density_g_cm3": 7.77, "sg": "R-3 (148)"}

---

Record 10
{"formula": "Li2ThTe3", "functional": "PBE", "state": "optimized geometry", "cell": [[-1.873, 3.723, -1.784], [-1.209, -4.044, -7.171], [-8.799, -4.606, 5.384]], "species": ["Te", "Te", "Te", "Te", "Te", "Te", "Th", "Th", "Li", "Li", "Li", "Li"], "frac_coords": [[0.581, 0.344, 0.162], [0.091, 0.885, 0.183], [0.419, 0.656, 0.838], [0.256, 0.227, 0.512], [0.744, 0.773, 0.488], [0.909, 0.115, 0.817], [0.667, 0.088, 0.334], [0.333, 0.912, 0.666], [0.037, 0.187, 0.074], [0.611, 0.668, 0.221], [0.389, 0.332, 0.779], [0.963, 0.813, 0.926]], "e_tot_ev_per_atom": -4.504, "density_g_cm3": 5.03, "e_form_raw_kj_per_mol_atoms": -102.1, "e_above_lowest_polymorph_ev_per_fu": 0.24, "sg": "C2/m (12)"}